# PBE-GGA Ca3VAu, relaxed
# - Calculated density: 3.44 g/cm3
# - Distance to the lowest polymorph of the same formula: 0.0 meV per atom
# - Energy relative to the elements: 0.26 eV per atom
# - Calculated volume: 178 Å³ per cell
data_Ca3VAu
_symmetry_space_group_name_H-M 'P m -3 m'
_symmetry_Int_Tables_number 221
_symmetry_space_group_name_Hall '-P 4 2 3'
_cell_length_a 5.6242
_cell_length_b 5.6242
_cell_length_c 5.6242
_cell_angle_alpha 90.00
_cell_angle_beta 90.00
_cell_angle_gamma 90.00
loop_
_atom_site_label
_atom_site_type_symbol
_atom_site_fract_x
_atom_site_fract_y
_atom_site_fract_z
_atom_site_occupancy
Ca1 Ca 0.0000 0.0000 0.5000 1
V1 V 0.5000 0.5000 0.5000 1
Au1 Au 0.0000 0.0000 0.0000 1